(1)
First-principles (PBE-GGA) data for a relaxed HfTiIr3 crystal, as listed in Alexandria via LeMat-Bulk.

CIF file:
```
data_HfTiIr3
_symmetry_space_group_name_H-M 'P 1'
_symmetry_Int_Tables_number 1
_cell_length_a 4.554
_cell_length_b 4.554
_cell_length_c 4.554
_cell_angle_alpha 90.00
_cell_angle_beta 90.00
_cell_angle_gamma 90.00
loop_
_symmetry_equiv_pos_as_xyz
'x,y,z'
loop_
_atom_site_label
_atom_site_fract_x
_atom_site_fract_y
_atom_site_fract_z
Ir1 0.000 0.500 0.000
Ir2 0.000 0.000 0.500
Ir3 0.500 0.000 0.000
Hf1 0.500 0.500 0.500
Ti1 0.000 0.000 0.000
```

Results
Spin magnetization: 0.00 μB per formula unit
Relative energy among the computed polymorphs: 0.0000 eV per atom
SG: No. 221
Formation energy from the elements: 0.47 eV/atom
Crystal system: cubic

(2)
First-principles (PBE-GGA) data for a relaxed Hf4TiIr crystal, as listed in Alexandria via LeMat-Bulk.

CIF file:
```
data_Hf4TiIr
_symmetry_space_group_name_H-M 'P 1'
_symmetry_Int_Tables_number 1
_cell_length_a 5.541
_cell_length_b 7.858
_cell_length_c 7.267
_cell_angle_alpha 113.99
_cell_angle_beta 101.01
_cell_angle_gamma 110.60
loop_
_symmetry_equiv_pos_as_xyz
'x,y,z'
loop_
_atom_site_label
_atom_site_fract_x
_atom_site_fract_y
_atom_site_fract_z
Hf1 0.050 0.201 0.822
Hf2 0.764 0.703 0.627
Hf3 0.272 0.621 0.822
Hf4 0.363 0.925 0.627
Hf5 0.637 0.075 0.373
Hf6 0.728 0.379 0.178
Hf7 0.236 0.297 0.373
Hf8 0.950 0.799 0.178
Ti1 0.365 0.615 0.229
Ti2 0.635 0.385 0.771
Ir1 0.252 0.002 0.003
Ir2 0.748 0.998 0.997
```

Results
Spin magnetization: 0.00 μB per formula unit
SG: No. 15
Formation energy from the elements: -0.22 eV/atom
Crystal system: monoclinic

(3)
First-principles (PBE-GGA) data for a relaxed HfTi2Ir2 crystal, as listed in Alexandria via LeMat-Bulk.

CIF file:
```
data_HfTi2Ir2
_symmetry_space_group_name_H-M 'P 1'
_symmetry_Int_Tables_number 1
_cell_length_a 4.127
_cell_length_b 4.127
_cell_length_c 6.107
_cell_angle_alpha 70.25
_cell_angle_beta 70.25
_cell_angle_gamma 90.00
loop_
_symmetry_equiv_pos_as_xyz
'x,y,z'
loop_
_atom_site_label
_atom_site_fract_x
_atom_site_fract_y
_atom_site_fract_z
Ir1 0.384 0.384 0.232
Ir2 0.616 0.616 0.768
Hf1 0.000 0.000 0.000
Ti1 0.750 0.250 0.500
Ti2 0.250 0.750 0.500
```

Results
Spin magnetization: 0.00 μB per formula unit
Relative energy among the computed polymorphs: 0.0367 eV per atom
SG: No. 139
Formation energy from the elements: -0.60 eV/atom
Crystal system: tetragonal